Record 1
VASP calculation (PBE) on crystalline Sr2GeIrC at its relaxed geometry.

```
5
Lattice="5.933 0.000 0.000 0.000 5.933 0.000 0.000 0.000 3.843" Properties=species:S:1:pos:R:3 pbc="T T T"
Sr 0.000 2.967 0.000
Sr 2.967 0.000 0.000
Ge 0.000 0.000 1.922
Ir 2.967 2.967 0.000
C 2.967 2.967 1.922
```

DOS(E_F) = 5.084 states/eV/f.u.
VASP energy = -5.08 eV/atom
E_form = 0.129 eV per atom
V = 135.29 Å³/f.u.



Record 2
VASP calculation (PBE) on crystalline Hf6TlSe at its relaxed geometry.

```
8
Lattice="5.537 0.000 0.000 0.214 5.547 0.000 0.165 0.266 5.544" Properties=species:S:1:pos:R:3 pbc="T T T"
Hf 0.154 1.510 2.705
Hf 1.485 2.722 0.022
Hf 2.775 0.074 1.384
Hf 3.142 5.739 4.160
Hf 4.431 3.091 5.523
Hf 5.763 4.302 2.839
Tl 0.000 0.000 0.000
Se 2.958 2.906 2.772
```

DOS(E_F) = 8.259 states/eV/f.u.
VASP energy = -8.23 eV/atom
Formation energy without anion corrections = -0.0364 eV/atom
V = 170.30 Å³/f.u.



Record 3
VASP calculation (PBE) on crystalline PmZrBi2 at its relaxed geometry.

```
4
Lattice="3.705 0.000 0.000 0.000 3.705 0.000 0.000 0.000 8.019" Properties=species:S:1:pos:R:3 pbc="T T T"
Pm 0.000 0.000 0.000
Zr 0.000 0.000 4.010
Bi 1.853 1.853 2.201
Bi 1.853 1.853 5.818
```

DOS(E_F) = 4.935 states/eV/f.u.
VASP energy = -5.69 eV/atom
Excess energy over the best structure of this formula in the dataset = 130 meV per atom
E_form = -0.429 eV per atom
V = 110.09 Å³/f.u.



Record 4
VASP calculation (PBE) on crystalline K2H6Cl at its relaxed geometry.

```
9
Lattice="0.000 3.987 3.987 3.987 0.000 3.987 3.987 3.987 0.000" Properties=species:S:1:pos:R:3 pbc="T T T"
K 1.993 1.993 1.993
K 5.980 5.980 5.980
H 3.987 3.987 1.828
H 3.987 1.828 3.987
H 6.145 3.987 3.987
H 1.828 3.987 3.987
H 3.987 6.145 3.987
H 3.987 3.987 6.145
Cl 0.000 0.000 0.000
```

DOS(E_F) = 2.421 states/eV/f.u.
VASP energy = -2.02 eV/atom
V = 126.71 Å³/f.u.



Q: Look up the VASP energy of the third one.
A: -5.69 eV/atom



Q: Look up the DOS(E_F) of the first one.
A: 5.084 states/eV/f.u.



Q: What is the formula in the third record?
A: PmZrBi2